1.
First-principles (meta-GGA SCAN) data for K2MoS4 at its PBEsol-relaxed geometry, as listed in Alexandria.

size of the total moment: 0.00 μB per atom
SG: Pnma, No. 62
E_form (uncorrected): -1096.1 meV/atom

Structure (extended XYZ):
```
28
Lattice="9.3308 0.0000 0.0000 0.0000 6.7290 0.0000 0.0000 0.0000 11.9750" Properties=species:S:1:pos:R:3 pbc="T T T"
K 0.4220 1.6822 1.9251
K 1.4691 5.0467 4.6481
K 3.1963 1.6822 10.6356
K 4.2434 5.0467 7.9127
K 5.0874 1.6822 4.0624
K 6.1345 5.0467 1.3394
K 7.8617 1.6822 7.3269
K 8.9087 5.0467 10.0499
Mo 2.3164 5.0467 0.8256
Mo 2.3490 1.6822 6.8131
Mo 6.9818 5.0467 5.1619
Mo 7.0144 1.6822 11.1494
S 0.1782 5.0467 1.3324
S 1.3871 3.4296 7.6742
S 1.3871 6.6639 7.6742
S 2.0355 1.6822 4.6522
S 2.6299 5.0467 10.6397
S 3.2783 0.0651 1.6867
S 3.2783 3.2994 1.6867
S 4.4872 1.6822 7.3199
S 4.8435 5.0467 4.6551
S 6.0524 3.4296 10.2883
S 6.0524 6.6639 10.2883
S 6.7009 1.6822 1.3353
S 7.2953 5.0467 7.3228
S 7.9437 0.0651 4.3008
S 7.9437 3.2994 4.3008
S 9.1526 1.6822 10.6426
```



2.
First-principles (meta-GGA SCAN) data for BaYHfAu2 at its PBEsol-relaxed geometry, as listed in Alexandria.

size of the total moment: 0.28 μB per atom
E_form: 1.13 eV/atom
SG: P4/mmm, No. 123

Structure (extended XYZ):
```
5
Lattice="5.4603 0.0000 0.0000 0.0000 5.4603 0.0000 0.0000 0.0000 5.4266" Properties=species:S:1:pos:R:3 pbc="T T T"
Ba 0.0000 0.0000 0.0000
Y 2.7302 2.7302 2.7133
Hf 0.0000 0.0000 2.7133
Au 0.0000 2.7302 0.0000
Au 2.7302 0.0000 0.0000
```



3.
First-principles (meta-GGA SCAN) data for Na2AlZnF7 at its PBEsol-relaxed geometry, as listed in Alexandria.

size of the total moment: 0.00 μB per atom
SG: Imma, No. 74
E_form (uncorrected): -3183.7 meV/atom

Structure (extended XYZ):
```
22
Lattice="-3.5389 5.0691 3.6894 3.5389 -5.0691 3.6894 3.5389 5.0691 -3.6894" Properties=species:S:1:pos:R:3 pbc="T T T"
Na 0.0000 0.0000 0.0000
Na -1.7694 2.5346 1.8447
Na 0.0000 5.0691 0.0000
Na 1.7694 2.5346 1.8447
Al 3.5389 0.0000 0.0000
Al 0.0000 0.0000 3.6894
Zn 1.7694 2.5346 -1.8447
Zn 1.7694 -2.5346 1.8447
F 2.2164 1.1350 -0.4691
F 4.8614 1.1350 -0.4691
F 3.5389 -2.5346 2.7650
F 3.5389 0.8423 1.6362
F 2.2164 3.9341 -0.4691
F 1.3225 -1.1350 3.2203
F 0.0000 0.8423 2.0532
F 3.5389 4.2269 1.6362
F 2.2164 6.2042 0.4691
F 1.3225 1.1350 4.1585
F 0.0000 4.2269 2.0532
F 0.0000 7.6037 0.9244
F -1.3225 3.9341 4.1585
F 1.3225 3.9341 4.1585
```



4.
First-principles (meta-GGA SCAN) data for AlCrSe2 at its PBEsol-relaxed geometry, as listed in Alexandria.

relative energy among the computed polymorphs: 2.27 eV/f.u.
size of the total moment: 0.93 μB per atom
SG: Fm-3m, No. 225
E_form (uncorrected): -32.0 meV/atom

Structure (extended XYZ):
```
4
Lattice="0.0000 3.2514 3.2514 3.2514 0.0000 3.2514 3.2514 3.2514 0.0000" Properties=species:S:1:pos:R:3 pbc="T T T"
Al 0.0000 0.0000 0.0000
Cr 3.2514 3.2514 3.2514
Se 1.6257 1.6257 1.6257
Se 4.8771 4.8771 4.8771
```



> Which of these has the highest size of the total moment?

AlCrSe2